1.
The following is a DFT calculation (PBE) of an optimized crystal structure of K2Na4ZnGe2.

Geometry as extended XYZ:
```
9
Lattice="5.511 0.120 0.081 1.297 7.499 0.484 1.297 3.204 6.798" Properties=species:S:1:pos:R:3 pbc="T T T"
K 3.291 6.813 4.635
K 4.814 4.009 2.728
Na 2.004 5.140 0.800
Na 6.101 8.190 2.875
Na 6.101 5.682 6.562
Na 2.004 2.632 4.487
Zn 2.756 0.060 0.041
Ge 1.984 1.969 1.339
Ge 6.121 8.854 6.023
```

Computed properties:
magnetization = 0.00 μB/cell
DFT total energy = -2.02 eV per atom


2.
The following is a DFT calculation (PBE) of an optimized crystal structure of KNbGe2.

Geometry as extended XYZ:
```
8
Lattice="5.998 0.000 0.000 0.000 5.998 0.000 2.999 2.999 8.017" Properties=species:S:1:pos:R:3 pbc="T T T"
K 2.999 2.999 0.000
K 2.999 5.998 4.009
Nb 0.000 0.000 0.000
Nb 5.998 2.999 4.009
Ge 5.894 1.499 2.004
Ge 6.102 4.498 2.004
Ge 4.498 3.103 6.013
Ge 7.497 2.895 6.013
```

Computed properties:
magnetization = 0.00 μB/cell
DFT total energy = -4.76 eV per atom
polymorph energy (0 for the lowest one) = 0 meV per atom


3.
The following is a DFT calculation (PBE) of an optimized crystal structure of KNb2Ge.

Geometry as extended XYZ:
```
8
Lattice="4.751 0.000 0.000 0.000 4.751 0.000 2.376 2.376 9.702" Properties=species:S:1:pos:R:3 pbc="T T T"
K 2.376 2.376 0.000
K 2.376 4.751 4.851
Nb 4.378 1.188 2.426
Nb 5.124 3.564 2.426
Nb 3.564 2.749 7.277
Nb 5.939 2.003 7.277
Ge 0.000 0.000 0.000
Ge 4.751 2.376 4.851
```

Computed properties:
magnetization = 0.00 μB/cell
DFT total energy = -5.49 eV per atom


4.
The following is a DFT calculation (PBE) of an optimized crystal structure of K2Nb2Ge.

Geometry as extended XYZ:
```
10
Lattice="10.555 0.000 0.000 0.000 10.555 0.000 0.000 0.000 2.873" Properties=species:S:1:pos:R:3 pbc="T T T"
K 3.055 8.333 0.000
K 8.333 7.500 0.000
K 7.500 2.223 0.000
K 2.223 3.055 0.000
Nb 0.826 6.104 1.437
Nb 6.104 9.729 1.437
Nb 9.729 4.452 1.437
Nb 4.452 0.826 1.437
Ge 0.000 0.000 0.000
Ge 5.278 5.278 0.000
```

Computed properties:
magnetization = 0.00 μB/cell
DFT total energy = -4.11 eV per atom


For the records above, the corresponding calculated volume values read 30.11 36.05 27.38 32.01 A^3/atom.
For the records above, the corresponding calculated formation energy values read -0.02 0.34 0.97 1.28 eV per atom.